VASP calculation (GGA-PBE) on a relaxed BaLaTa2 crystal.

The space group is Fm-3m (No. 225) and the conventional cell measures 7.506, 7.506 and 7.506 Å, with angles of 90.00, 90.00 and 90.00 degrees. Symmetry generates all atoms from Ba at (0.000, 0.000, 0.000), La at (0.000, 0.000, 0.500) and Ta at (0.250, 0.250, 0.250).

The value obtained for the total magnetization is 0.00 μB per formula unit. Its density of states at the Fermi level is 1.512 states/eV/atom. Its energy of formation is 1.3041 eV per atom.


VASP calculation (GGA-PBE) on a relaxed BaLaTa2 crystal.

The space group is Cmm2 (No. 35) and the conventional cell measures 3.711, 5.277 and 11.205 Å, with angles of 90.00, 90.00 and 90.00 degrees. Symmetry generates all atoms from Ba at (0.000, 0.000, 0.000), La at (0.000, 0.500, 0.336), Ta at (0.000, 0.000, 0.565) and Ta at (0.000, 0.500, 0.738).

The value obtained for the total magnetization is 0.00 μB per formula unit. Its density of states at the Fermi level is 1.581 states/eV/atom. Its energy of formation is 0.6512 eV per atom.


VASP calculation (GGA-PBE) on a relaxed BaLa2Ta crystal.

The space group is P4mm (No. 99) and the conventional cell measures 3.424, 3.424 and 11.273 Å, with angles of 90.00, 90.00 and 90.00 degrees. Symmetry generates all atoms from Ba at (0.000, 0.000, 0.000), La at (0.000, 0.000, 0.574), La at (0.500, 0.500, 0.308) and Ta at (0.500, 0.500, 0.769).

The value obtained for the total magnetization is 0.00 μB per formula unit. Its density of states at the Fermi level is 1.483 states/eV/atom. Its energy of formation is 0.6108 eV per atom.


VASP calculation (GGA-PBE) on a relaxed BaLaTa2 crystal.

The space group is C2/m (No. 12) and the conventional cell measures 10.835, 3.362 and 6.925 Å, with angles of 90.00, 95.77 and 90.00 degrees. Symmetry generates all atoms from Ba at (0.000, 0.000, 0.000), La at (0.000, 0.500, 0.500) and Ta at (0.243, 0.000, 0.651).

The value obtained for the total magnetization is 0.00 μB per formula unit. Its density of states at the Fermi level is 1.187 states/eV/atom. Its energy of formation is 0.8737 eV per atom.


VASP calculation (GGA-PBE) on a relaxed BaLa4Ta crystal.

The space group is F-43m (No. 216) and the conventional cell measures 9.368, 9.368 and 9.368 Å, with angles of 90.00, 90.00 and 90.00 degrees. Symmetry generates all atoms from Ba at (0.000, 0.000, 0.000), La at (0.120, 0.120, 0.620) and Ta at (0.250, 0.250, 0.250).

The value obtained for the total magnetization is 1.94 μB per formula unit. Its density of states at the Fermi level is 1.575 states/eV/atom. Its energy of formation is 0.7467 eV per atom.


VASP calculation (GGA-PBE) on a relaxed BaLaTb crystal.

The space group is P3m1 (No. 156) and the conventional cell measures 3.8381, 3.8381 and 9.5984 Å, with angles of 90.00, 90.00 and 120.00 degrees. Symmetry generates all atoms from Ba at (0.0000, 0.0000, 0.0000), La at (0.3333, 0.6667, 0.6355) and Tb at (0.6667, 0.3333, 0.3438).

The value obtained for the total magnetization is 0.00 μB per formula unit. Its density of states at the Fermi level is 1.741 states/eV/atom. Its energy of formation is 0.1621 eV per atom.


VASP calculation (GGA-PBE) on a relaxed BaLaTb crystal.

The space group is I4mm (No. 107) and the conventional cell measures 3.846, 3.846 and 16.792 Å, with angles of 90.00, 90.00 and 90.00 degrees. Symmetry generates all atoms from Ba at (0.000, 0.000, 0.000), La at (0.000, 0.000, 0.686) and Tb at (0.000, 0.000, 0.322).

The value obtained for the total magnetization is 0.00 μB per formula unit. Its density of states at the Fermi level is 1.634 states/eV/atom. Its energy of formation is 0.1492 eV per atom.


VASP calculation (GGA-PBE) on a relaxed Ba3La5Tb12 crystal.

The space group is Ia-3d (No. 230) and the conventional cell measures 19.543, 19.543 and 19.543 Å, with angles of 90.00, 90.00 and 90.00 degrees. Symmetry generates all atoms from Ba at (0.000, 0.250, 0.125), La at (0.000, 0.000, 0.000), La at (0.000, 0.250, 0.375) and Tb at (0.059, 0.117, 0.926).

The value obtained for the total magnetization is 0.00 μB per formula unit. Its density of states at the Fermi level is 1.429 states/eV/atom. Its energy of formation is 0.9296 eV per atom.


VASP calculation (GGA-PBE) on a relaxed Ba3La3TbTe8 crystal.

The space group is R-3m (No. 166, hexagonal axes) and the conventional cell measures 9.3079, 9.3079 and 24.1492 Å, with angles of 90.00, 90.00 and 120.00 degrees. Symmetry generates all atoms from Ba at (0.0000, 0.5000, 0.0000), La at (0.0000, 0.5000, 0.5000), Tb at (0.0000, 0.0000, 0.5000), Te at (0.0000, 0.0000, 0.2430) and Te at (0.0084, 0.5042, 0.2400).

The uncorrected formation energy is -37.57 kcal/mol of atoms. The value obtained for the total magnetization is 0.00 μB per formula unit. Its density of states at the Fermi level is 0.338 states/eV/atom.


VASP calculation (GGA-PBE) on a relaxed BaLaTc2 crystal.

The space group is P4/mmm (No. 123) and the conventional cell measures 4.076, 4.076 and 7.214 Å, with angles of 90.00, 90.00 and 90.00 degrees. Symmetry generates all atoms from Ba at (0.000, 0.000, 0.000), La at (0.000, 0.000, 0.500) and Tc at (0.500, 0.500, 0.346).

The value obtained for the total magnetization is 0.00 μB per formula unit. Its density of states at the Fermi level is 0.667 states/eV/atom. Its energy of formation is 0.6092 eV per atom.


VASP calculation (GGA-PBE) on a relaxed BaLa2Tc crystal.

The space group is P2/m (No. 10) and the conventional cell measures 3.625, 3.625 and 10.488 Å, with angles of 90.00, 90.59 and 90.00 degrees. Symmetry generates all atoms from Ba at (0.000, 0.000, 0.000), La at (0.493, 0.500, 0.663) and Tc at (0.000, 0.000, 0.500).

The value obtained for the total magnetization is 0.00 μB per formula unit. Its density of states at the Fermi level is 1.435 states/eV/atom. Its energy of formation is 0.1399 eV per atom.


VASP calculation (GGA-PBE) on a relaxed BaLaTc crystal.

The space group is P3m1 (No. 156) and the conventional cell measures 3.8062, 3.8062 and 7.8593 Å, with angles of 90.00, 90.00 and 120.00 degrees. Symmetry generates all atoms from Ba at (0.0000, 0.0000, 0.0000), La at (0.6667, 0.3333, 0.4739) and Tc at (0.3333, 0.6667, 0.7014).

The value obtained for the total magnetization is 0.00 μB per formula unit. Its density of states at the Fermi level is 1.372 states/eV/atom. Its energy of formation is 0.6061 eV per atom.


VASP calculation (GGA-PBE) on a relaxed BaLaTc2 crystal.

The space group is R-3m (No. 166, hexagonal axes) and the conventional cell measures 3.4402, 3.4402 and 28.0766 Å, with angles of 90.00, 90.00 and 120.00 degrees. Symmetry generates all atoms from Ba at (0.0000, 0.0000, 0.0000), La at (0.0000, 0.0000, 0.5000) and Tc at (0.0000, 0.0000, 0.2394).

The value obtained for the total magnetization is 0.00 μB per formula unit. Its density of states at the Fermi level is 1.677 states/eV/atom. Its energy of formation is 1.0217 eV per atom.


VASP calculation (GGA-PBE) on a relaxed BaLa2Tc crystal.

The space group is Immm (No. 71) and the conventional cell measures 3.958, 6.542 and 10.901 Å, with angles of 90.00, 90.00 and 90.00 degrees. Symmetry generates all atoms from Ba at (0.000, 0.000, 0.000), La at (0.000, 0.500, 0.174) and Tc at (0.000, 0.000, 0.500).

The value obtained for the total magnetization is 0.00 μB per formula unit. Its density of states at the Fermi level is 1.001 states/eV/atom. Its energy of formation is 0.2148 eV per atom.


VASP calculation (GGA-PBE) on a relaxed BaLaTc2 crystal.

The space group is Cmmm (No. 65) and the conventional cell measures 3.482, 5.480 and 9.582 Å, with angles of 90.00, 90.00 and 90.00 degrees. Symmetry generates all atoms from Ba at (0.000, 0.000, 0.000), La at (0.000, 0.000, 0.500) and Tc at (0.000, 0.500, 0.274).

The value obtained for the total magnetization is 0.00 μB per formula unit. Its density of states at the Fermi level is 1.471 states/eV/atom. Its energy of formation is 0.9353 eV per atom.


VASP calculation (GGA-PBE) on a relaxed BaLa2Tc crystal.

The space group is I-4m2 (No. 119) and the conventional cell measures 4.692, 4.692 and 10.495 Å, with angles of 90.00, 90.00 and 90.00 degrees. Symmetry generates all atoms from Ba at (0.000, 0.000, 0.000), La at (0.000, 0.000, 0.500), La at (0.000, 0.500, 0.750) and Tc at (0.000, 0.500, 0.250).

The value obtained for the total magnetization is 0.00 μB per formula unit. Its density of states at the Fermi level is 1.144 states/eV/atom. Its energy of formation is 0.5972 eV per atom.


VASP calculation (GGA-PBE) on a relaxed BaLaTc2 crystal.

The space group is Fm-3m (No. 225) and the conventional cell measures 7.316, 7.316 and 7.316 Å, with angles of 90.00, 90.00 and 90.00 degrees. Symmetry generates all atoms from Ba at (0.000, 0.000, 0.000), La at (0.000, 0.000, 0.500) and Tc at (0.250, 0.250, 0.250).

The value obtained for the total magnetization is 2.44 μB per formula unit. Its density of states at the Fermi level is 2.040 states/eV/atom. Its energy of formation is 1.0022 eV per atom.


VASP calculation (GGA-PBE) on a relaxed BaLaTc2 crystal.

The space group is C2/m (No. 12) and the conventional cell measures 10.336, 4.197 and 7.497 Å, with angles of 90.00, 123.94 and 90.00 degrees. Symmetry generates all atoms from Ba at (0.000, 0.000, 0.000), La at (0.000, 0.500, 0.500) and Tc at (0.225, 0.500, 0.409).

The value obtained for the total magnetization is 0.00 μB per formula unit. Its density of states at the Fermi level is 0.931 states/eV/atom. Its energy of formation is 0.4675 eV per atom.


VASP calculation (GGA-PBE) on a relaxed BaLa3Tc crystal.

The space group is Cm (No. 8) and the conventional cell measures 16.372, 8.287 and 5.638 Å, with angles of 90.00, 90.01 and 90.00 degrees. Symmetry generates all atoms from Ba at (0.000, 0.000, 0.000), Ba at (0.243, 0.500, 0.000), La at (0.122, 0.250, 0.492), La at (0.248, 0.000, 0.994), La at (0.372, 0.227, 0.493), La at (0.496, 0.000, 0.994), Tc at (0.016, 0.500, 0.467) and Tc at (0.228, 0.000, 0.467).

The value obtained for the total magnetization is 0.00 μB per formula unit. Its density of states at the Fermi level is 0.853 states/eV/atom. Its energy of formation is 0.0085 eV per atom.


VASP calculation (GGA-PBE) on a relaxed BaLa2Tc crystal.

The space group is F-43m (No. 216) and the conventional cell measures 7.706, 7.706 and 7.706 Å, with angles of 90.00, 90.00 and 90.00 degrees. Symmetry generates all atoms from Ba at (0.000, 0.000, 0.000), La at (0.000, 0.000, 0.500), La at (0.250, 0.250, 0.750) and Tc at (0.250, 0.250, 0.250).

The value obtained for the total magnetization is 0.00 μB per formula unit. Its density of states at the Fermi level is 1.471 states/eV/atom. Its energy of formation is 0.6258 eV per atom.


VASP calculation (GGA-PBE) on a relaxed BaLa2Tc crystal.

The space group is Cmmm (No. 65) and the conventional cell measures 4.562, 5.762 and 10.725 Å, with angles of 90.00, 90.00 and 90.00 degrees. Symmetry generates all atoms from Ba at (0.000, 0.000, 0.000), La at (0.000, 0.500, 0.338) and Tc at (0.000, 0.000, 0.500).

The value obtained for the total magnetization is 0.00 μB per formula unit. Its density of states at the Fermi level is 1.446 states/eV/atom. Its energy of formation is 0.1352 eV per atom.


VASP calculation (GGA-PBE) on a relaxed Ba3LaTc crystal.

The space group is Pm-3m (No. 221) and the conventional cell measures 5.972, 5.972 and 5.972 Å, with angles of 90.00, 90.00 and 90.00 degrees. Symmetry generates all atoms from Ba at (0.000, 0.000, 0.500), La at (0.500, 0.500, 0.500) and Tc at (0.000, 0.000, 0.000).

The value obtained for the total magnetization is 0.00 μB per formula unit. Its density of states at the Fermi level is 1.168 states/eV/atom. Its energy of formation is 0.6677 eV per atom.


VASP calculation (GGA-PBE) on a relaxed BaLaTc crystal.

The space group is P-6m2 (No. 187) and the conventional cell measures 4.4822, 4.4822 and 5.5392 Å, with angles of 90.00, 90.00 and 120.00 degrees. Symmetry generates all atoms from Ba at (0.0000, 0.0000, 0.0000), La at (0.6667, 0.3333, 0.5000) and Tc at (0.3333, 0.6667, 0.5000).

The value obtained for the total magnetization is 0.49 μB per formula unit. Its density of states at the Fermi level is 1.403 states/eV/atom. Its energy of formation is 0.5222 eV per atom.


VASP calculation (GGA-PBE) on a relaxed BaLaTc4 crystal.

The space group is F-43m (No. 216) and the conventional cell measures 7.901, 7.901 and 7.901 Å, with angles of 90.00, 90.00 and 90.00 degrees. Symmetry generates all atoms from Ba at (0.000, 0.000, 0.000), La at (0.250, 0.250, 0.750) and Tc at (0.125, 0.125, 0.375).

The value obtained for the total magnetization is 0.00 μB per formula unit. Its density of states at the Fermi level is 1.582 states/eV/atom. Its energy of formation is 0.5021 eV per atom.


VASP calculation (GGA-PBE) on a relaxed BaLa3Tc crystal.

The space group is Pm-3m (No. 221) and the conventional cell measures 5.834, 5.834 and 5.834 Å, with angles of 90.00, 90.00 and 90.00 degrees. Symmetry generates all atoms from Ba at (0.000, 0.000, 0.000), La at (0.000, 0.000, 0.500) and Tc at (0.500, 0.500, 0.500).

The value obtained for the total magnetization is 3.09 μB per formula unit. Its density of states at the Fermi level is 1.939 states/eV/atom. Its energy of formation is 1.5456 eV per atom.